Entry from the Alexandria database: a geometry-optimized HfAlC3 structure (PBE).

Calculated values
The calculation puts the density of states at the Fermi level at 2.0 states/eV per cell. The relative energy among the computed polymorphs is 279 kJ/mol of formula units. The value obtained for the size of the total moment is 0.00 μB/f.u. As for the symmetry: Pm-3m, No. 221. The value obtained for the total energy is -6.283 eV/atom. Its formation energy is 960 kJ/mol of formula units.

Cell: 4.2885 4.2885 4.2885 Å, 90.00 90.00 90.00°
With the nearest neighbours (Å) after each atom.
Element x y z (fractional)
C 0.0000 0.5000 0.0000  2 Hf 2.14
C 0.0000 0.0000 0.5000  2 Hf 2.14
C 0.5000 0.0000 0.0000  2 Hf 2.14
Hf 0.0000 0.0000 0.0000  6 C 2.14
Al 0.5000 0.5000 0.5000  12 C 3.03



Entry from the Alexandria database: a geometry-optimized ZrOsS2N structure (PBE).

Calculated values
The uncorrected formation energy comes out at 0.036 eV/atom. The calculation puts the density of states at the Fermi level at 3.1 states/eV per cell. The relative energy among the computed polymorphs is 0 kJ/mol of formula units. The value obtained for the size of the total moment is 0.01 μB/f.u. As for the symmetry: P4/mmm, No. 123. The value obtained for the total energy is -7.235 eV/atom.

Cell: 4.7812 4.7812 3.6836 Å, 90.00 90.00 90.00°
With the nearest neighbours (Å) after each atom.
Element x y z (fractional)
Os 0.0000 0.0000 0.0000  2 N 1.84
Zr 0.5000 0.5000 0.5000  8 S 3.02
S 0.5000 0.0000 0.0000  2 Os 2.39
S 0.0000 0.5000 0.0000  2 Os 2.39
N 0.0000 0.0000 0.5000  2 Os 1.84



Entry from the Alexandria database: a geometry-optimized Li2CaCeBr8 structure (PBE).

Calculated values
The uncorrected formation energy comes out at -1.653 eV/atom. The value obtained for the size of the total moment is 0.00 μB/f.u. As for the symmetry: P-1, No. 2. The value obtained for the total energy is -3.748 eV/atom.

Cell: 7.0060 7.1993 8.6950 Å, 74.08 90.28 102.55°
With the nearest neighbours (Å) after each atom.
Element x y z (fractional)
Br 0.3655 0.2536 0.9488  1 Li 2.56, 1 Ce 2.76
Br 0.6345 0.7464 0.0512  1 Li 2.56, 1 Ce 2.76
Br 0.3776 0.2662 0.4402  2 Li 2.51-2.54
Br 0.8801 0.2329 0.7058  1 Li 2.67, 1 Ce 2.88
Br 0.8792 0.2165 0.1889  1 Ce 2.80, 1 Ca 2.95
Br 0.1199 0.7671 0.2942  1 Li 2.67, 1 Ce 2.88
Br 0.6224 0.7338 0.5598  2 Li 2.51-2.54
Br 0.1208 0.7835 0.8111  1 Ce 2.80, 1 Ca 2.95
Li 0.4538 0.6409 0.3277  4 Br 2.51-2.67
Li 0.5462 0.3591 0.6723  4 Br 2.51-2.67
Ce 0.0000 0.0000 0.0000  6 Br 2.76-2.88
Ca 0.0000 0.0000 0.5000  6 Br 2.86-3.00



Entry from the Alexandria database: a geometry-optimized Tb2PrAl6 structure (PBE).

Calculated values
The calculation puts the density of states at the Fermi level at 4.5 states/eV per cell. The relative energy among the computed polymorphs is 0 kJ/mol of formula units. The value obtained for the size of the total moment is 0.00 μB/f.u. As for the symmetry: P6/mmm, No. 191. The value obtained for the total energy is -4.533 eV/atom. Its formation energy is -415 kJ/mol of formula units.

Cell: 3.5881 7.9578 7.9578 Å, 120.00 90.00 90.00°
With the nearest neighbours (Å) after each atom.
Element x y z (fractional)
Pr 0.0000 0.0000 0.0000  12 Al 3.22, 2 Pr 3.59
Al 0.5000 0.3357 0.0000  3 Al 2.62-2.67
Al 0.5000 0.0000 0.6643  3 Al 2.62-2.67
Al 0.5000 0.0000 0.3357  3 Al 2.62-2.67
Al 0.5000 0.3357 0.3357  3 Al 2.62-2.67
Al 0.5000 0.6643 0.6643  3 Al 2.62-2.67
Al 0.5000 0.6643 0.0000  3 Al 2.62-2.67
Tb 0.0000 0.6667 0.3333  12 Al 3.19
Tb 0.0000 0.3333 0.6667  12 Al 3.19